No. 1
ErInGa2S6 after structural relaxation. Source: Alexandria via LeMat-Bulk, functional GGA-PBE.

Results
Mass density = 4.414 Mg/m³
Crystal system = monoclinic
Energy relative to the elements, uncorrected = -0.942 eV/atom
Space group = No. 15

Cell lengths 8.476, 8.476, 6.582 Å; angles 98.61, 98.61, 86.65 degrees
Fractional coordinates of all 20 atoms:
Er (0.098, 0.902, 0.750)
Er (0.902, 0.098, 0.250)
In (0.282, 0.718, 0.250)
In (0.718, 0.282, 0.750)
Ga (0.225, 0.397, 0.712)
Ga (0.397, 0.225, 0.212)
Ga (0.603, 0.775, 0.788)
Ga (0.775, 0.603, 0.288)
S (0.027, 0.207, 0.645)
S (0.125, 0.620, 0.895)
S (0.207, 0.027, 0.145)
S (0.280, 0.441, 0.391)
S (0.380, 0.875, 0.605)
S (0.441, 0.280, 0.891)
S (0.559, 0.720, 0.109)
S (0.620, 0.125, 0.395)
S (0.720, 0.559, 0.609)
S (0.793, 0.973, 0.855)
S (0.875, 0.380, 0.105)
S (0.973, 0.793, 0.355)


No. 2
SmErInGa after structural relaxation. Source: Alexandria via LeMat-Bulk, functional GGA-PBE.

Results
Mass density = 8.293 Mg/m³
Formation energy from the elements = -0.516 eV per atom
Crystal system = tetragonal
Density of states at the Fermi level = 0.53 states/eV per atom
Space group = No. 99
ΔE to the lowest computed polymorph = 0.0 meV/atom

Cell lengths 3.645, 3.645, 7.567 Å; angles 90.00, 90.00, 90.00 degrees
Fractional coordinates of all 4 atoms:
Sm (0.000, 0.000, 0.000)
Er (0.000, 0.000, 0.471)
In (0.500, 0.500, 0.726)
Ga (0.500, 0.500, 0.247)


No. 3
Sm2Er2InGa4 after structural relaxation. Source: Alexandria via LeMat-Bulk, functional GGA-PBE.

Results
Mass density = 7.285 Mg/m³
Formation energy from the elements = -0.126 eV per atom
Crystal system = tetragonal
Density of states at the Fermi level = 0.72 states/eV per atom
Space group = No. 139

Cell lengths 6.842, 6.842, 6.842 Å; angles 117.39, 117.39, 94.58 degrees
Fractional coordinates of all 9 atoms:
Sm (0.187, 0.187, 0.000)
Sm (0.813, 0.813, 0.000)
Er (0.250, 0.750, 0.500)
Er (0.750, 0.250, 0.500)
In (0.500, 0.500, 0.000)
Ga (0.240, 0.240, 0.480)
Ga (0.240, 0.760, 0.000)
Ga (0.760, 0.240, 0.000)
Ga (0.760, 0.760, 0.520)


No. 4
SmErInGa after structural relaxation. Source: Alexandria via LeMat-Bulk, functional GGA-PBE.

Results
Mass density = 8.249 Mg/m³
Formation energy from the elements = -0.495 eV per atom
Crystal system = cubic
Density of states at the Fermi level = 0.32 states/eV per atom
Space group = No. 216
ΔE to the lowest computed polymorph = 21.4 meV/atom

Cell lengths 7.394, 7.394, 7.394 Å; angles 90.00, 90.00, 90.00 degrees
Fractional coordinates of all 16 atoms:
Sm (0.000, 0.000, 0.000)
Sm (0.000, 0.500, 0.500)
Sm (0.500, 0.000, 0.500)
Sm (0.500, 0.500, 0.000)
Er (0.000, 0.000, 0.500)
Er (0.000, 0.500, 0.000)
Er (0.500, 0.000, 0.000)
Er (0.500, 0.500, 0.500)
In (0.250, 0.250, 0.250)
In (0.250, 0.750, 0.750)
In (0.750, 0.250, 0.750)
In (0.750, 0.750, 0.250)
Ga (0.250, 0.250, 0.750)
Ga (0.250, 0.750, 0.250)
Ga (0.750, 0.250, 0.250)
Ga (0.750, 0.750, 0.750)


No. 5
ErInGaSn after structural relaxation. Source: Alexandria via LeMat-Bulk, functional GGA-PBE.

Results
Mass density = 8.364 Mg/m³
Formation energy from the elements = -0.421 eV per atom
Crystal system = orthorhombic
Density of states at the Fermi level = 0.51 states/eV per atom
Space group = No. 47

Cell lengths 4.355, 4.512, 4.755 Å; angles 90.00, 90.00, 90.00 degrees
Fractional coordinates of all 4 atoms:
Er (0.000, 0.000, 0.000)
In (0.000, 0.500, 0.500)
Ga (0.500, 0.500, 0.000)
Sn (0.500, 0.000, 0.500)


No. 6
TbErInGa after structural relaxation. Source: Alexandria via LeMat-Bulk, functional GGA-PBE.

Results
Mass density = 8.608 Mg/m³
Formation energy from the elements = -0.496 eV per atom
Crystal system = cubic
Density of states at the Fermi level = 0.29 states/eV per atom
Space group = No. 216
ΔE to the lowest computed polymorph = 19.1 meV/atom

Cell lengths 7.332, 7.332, 7.332 Å; angles 90.00, 90.00, 90.00 degrees
Fractional coordinates of all 16 atoms:
Tb (0.000, 0.000, 0.000)
Tb (0.000, 0.500, 0.500)
Tb (0.500, 0.000, 0.500)
Tb (0.500, 0.500, 0.000)
Er (0.000, 0.000, 0.500)
Er (0.000, 0.500, 0.000)
Er (0.500, 0.000, 0.000)
Er (0.500, 0.500, 0.500)
In (0.250, 0.250, 0.750)
In (0.250, 0.750, 0.250)
In (0.750, 0.250, 0.250)
In (0.750, 0.750, 0.750)
Ga (0.250, 0.250, 0.250)
Ga (0.250, 0.750, 0.750)
Ga (0.750, 0.250, 0.750)
Ga (0.750, 0.750, 0.250)


No. 7
TbErInGa after structural relaxation. Source: Alexandria via LeMat-Bulk, functional GGA-PBE.

Results
Mass density = 8.632 Mg/m³
Formation energy from the elements = -0.515 eV per atom
Crystal system = tetragonal
Density of states at the Fermi level = 0.45 states/eV per atom
Space group = No. 99
ΔE to the lowest computed polymorph = 0.0 meV/atom

Cell lengths 3.573, 3.573, 7.694 Å; angles 90.00, 90.00, 90.00 degrees
Fractional coordinates of all 4 atoms:
Tb (0.000, 0.000, 0.000)
Er (0.000, 0.000, 0.469)
In (0.500, 0.500, 0.730)
Ga (0.500, 0.500, 0.238)


No. 8
ErTmInGa after structural relaxation. Source: Alexandria via LeMat-Bulk, functional GGA-PBE.

Results
Mass density = 8.982 Mg/m³
Formation energy from the elements = -0.478 eV per atom
Crystal system = cubic
Density of states at the Fermi level = 0.33 states/eV per atom
Space group = No. 216
ΔE to the lowest computed polymorph = 21.0 meV/atom

Cell lengths 7.275, 7.275, 7.275 Å; angles 90.00, 90.00, 90.00 degrees
Fractional coordinates of all 16 atoms:
Er (0.000, 0.000, 0.000)
Er (0.000, 0.500, 0.500)
Er (0.500, 0.000, 0.500)
Er (0.500, 0.500, 0.000)
Tm (0.000, 0.000, 0.500)
Tm (0.000, 0.500, 0.000)
Tm (0.500, 0.000, 0.000)
Tm (0.500, 0.500, 0.500)
In (0.250, 0.250, 0.250)
In (0.250, 0.750, 0.750)
In (0.750, 0.250, 0.750)
In (0.750, 0.750, 0.250)
Ga (0.250, 0.250, 0.750)
Ga (0.250, 0.750, 0.250)
Ga (0.750, 0.250, 0.250)
Ga (0.750, 0.750, 0.750)


No. 9
ErTmInGa after structural relaxation. Source: Alexandria via LeMat-Bulk, functional GGA-PBE.

Results
Mass density = 9.031 Mg/m³
Formation energy from the elements = -0.499 eV per atom
Crystal system = tetragonal
Density of states at the Fermi level = 0.45 states/eV per atom
Space group = No. 99
ΔE to the lowest computed polymorph = 0.0 meV/atom

Cell lengths 3.456, 3.456, 8.016 Å; angles 90.00, 90.00, 90.00 degrees
Fractional coordinates of all 4 atoms:
Er (0.000, 0.000, 0.000)
Tm (0.000, 0.000, 0.464)
In (0.500, 0.500, 0.731)
Ga (0.500, 0.500, 0.233)


No. 10
YErInGa after structural relaxation. Source: Alexandria via LeMat-Bulk, functional GGA-PBE.

Results
Mass density = 7.468 Mg/m³
Formation energy from the elements = -0.524 eV per atom
Crystal system = tetragonal
Density of states at the Fermi level = 0.43 states/eV per atom
Space group = No. 99
ΔE to the lowest computed polymorph = 0.0 meV/atom

Cell lengths 3.564, 3.564, 7.713 Å; angles 90.00, 90.00, 90.00 degrees
Fractional coordinates of all 4 atoms:
Y (0.000, 0.000, 0.000)
Er (0.000, 0.000, 0.531)
In (0.500, 0.500, 0.269)
Ga (0.500, 0.500, 0.762)


No. 11
YErInGa after structural relaxation. Source: Alexandria via LeMat-Bulk, functional GGA-PBE.

Results
Mass density = 7.446 Mg/m³
Formation energy from the elements = -0.505 eV per atom
Crystal system = cubic
Density of states at the Fermi level = 0.33 states/eV per atom
Space group = No. 216
ΔE to the lowest computed polymorph = 19.4 meV/atom

Cell lengths 7.326, 7.326, 7.326 Å; angles 90.00, 90.00, 90.00 degrees
Fractional coordinates of all 16 atoms:
Y (0.000, 0.000, 0.000)
Y (0.000, 0.500, 0.500)
Y (0.500, 0.000, 0.500)
Y (0.500, 0.500, 0.000)
Er (0.000, 0.000, 0.500)
Er (0.000, 0.500, 0.000)
Er (0.500, 0.000, 0.000)
Er (0.500, 0.500, 0.500)
In (0.250, 0.250, 0.750)
In (0.250, 0.750, 0.250)
In (0.750, 0.250, 0.250)
In (0.750, 0.750, 0.750)
Ga (0.250, 0.250, 0.250)
Ga (0.250, 0.750, 0.750)
Ga (0.750, 0.250, 0.750)
Ga (0.750, 0.750, 0.250)


No. 12
Er2ZnInGa after structural relaxation. Source: Alexandria via LeMat-Bulk, functional GGA-PBE.

Results
Mass density = 8.437 Mg/m³
Formation energy from the elements = -0.394 eV per atom
Crystal system = monoclinic
Density of states at the Fermi level = 0.65 states/eV per atom
Space group = No. 11

Cell lengths 7.150, 4.484, 7.515 Å; angles 90.00, 107.27, 90.00 degrees
Fractional coordinates of all 10 atoms:
Er (0.142, 0.250, 0.369)
Er (0.307, 0.250, 0.948)
Er (0.693, 0.750, 0.052)
Er (0.858, 0.750, 0.631)
Zn (0.090, 0.750, 0.054)
Zn (0.910, 0.250, 0.946)
In (0.331, 0.750, 0.658)
In (0.669, 0.250, 0.342)
Ga (0.420, 0.750, 0.291)
Ga (0.580, 0.250, 0.709)